No. 1
Material: TaIr2
Method: DFT, PBE
State: optimized geometry

Results
ΔH_f (0 K)   -0.620 eV per atom
DOS at the Fermi energy   6.010 states/eV per cell
Size of the total moment   0.00 μB per atom

Structure (CIF):
```
data_TaIr2
_chemical_formula_sum 'Ta4 Ir8'
_cell_length_a 5.592
_cell_length_b 3.970
_cell_length_c 8.424
_cell_angle_alpha 90.00
_cell_angle_beta 90.00
_cell_angle_gamma 90.00
_space_group_name_H-M_alt 'P n m a'
_space_group_IT_number 62
_space_group_name_Hall '-P 2ac 2n'
loop_
_atom_site_label
_atom_site_type_symbol
_atom_site_fract_x
_atom_site_fract_y
_atom_site_fract_z
_atom_site_occupancy
Ta1 Ta 0.152 0.250 0.096 1
Ir1 Ir 0.113 0.250 0.757 1
Ir2 Ir 0.136 0.250 0.420 1
```



No. 2
Material: YCuAu2
Method: DFT, PBE
State: optimized geometry

Results
ΔH_f (0 K)   -0.489 eV per atom
DOS at the Fermi energy   4.822 states/eV per cell
Size of the total moment   0.00 μB per atom

Structure (CIF):
```
data_YCuAu2
_chemical_formula_sum 'Y2 Cu2 Au4'
_cell_length_a 4.315
_cell_length_b 4.315
_cell_length_c 8.216
_cell_angle_alpha 90.00
_cell_angle_beta 90.00
_cell_angle_gamma 90.00
_space_group_name_H-M_alt 'I -4 m 2'
_space_group_IT_number 119
_space_group_name_Hall 'I -4 -2'
loop_
_atom_site_label
_atom_site_type_symbol
_atom_site_fract_x
_atom_site_fract_y
_atom_site_fract_z
_atom_site_occupancy
Y1 Y 0.000 0.000 0.000 1
Cu1 Cu 0.000 0.500 0.250 1
Au1 Au 0.000 0.000 0.500 1
Au2 Au 0.000 0.500 0.750 1
```



No. 3
Material: Dy2ScHg
Method: DFT, PBE
State: optimized geometry

Results
ΔH_f (0 K)   -0.120 eV per atom
DOS at the Fermi energy   16.464 states/eV per cell
Size of the total moment   0.00 μB per atom

Structure (CIF):
```
data_Dy2ScHg
_chemical_formula_sum 'Dy6 Sc3 Hg3'
_cell_length_a 3.5444
_cell_length_b 3.5444
_cell_length_c 30.8694
_cell_angle_alpha 90.00
_cell_angle_beta 90.00
_cell_angle_gamma 120.00
_space_group_name_H-M_alt 'R -3 m'
_space_group_IT_number 166
_space_group_name_Hall '-R 3 2"'
loop_
_atom_site_label
_atom_site_type_symbol
_atom_site_fract_x
_atom_site_fract_y
_atom_site_fract_z
_atom_site_occupancy
Dy1 Dy 0.0000 0.0000 0.2462 1
Sc1 Sc 0.0000 0.0000 0.0000 1
Hg1 Hg 0.0000 0.0000 0.5000 1
```